1.
This record from the Open Quantum Materials Database describes crystalline Al5Ni at its relaxed geometry. The functional is PBE-GGA.

a = 5.2611 Å, b = 5.2611 Å, c = 15.3780 Å
α = 90.00°, β = 90.00°, γ = 120.00°
Last column: nearest neighbours and their distance in Å.
Sites, in units of the cell vectors:
Al1 0.0000 0.0000 0.0918  10 Al 2.82-2.99, 3 Ni 3.08
Al2 0.0000 0.0000 0.4082  10 Al 2.82-2.99, 3 Ni 3.08
Al3 0.0000 0.0000 0.5918  10 Al 2.82-2.99, 3 Ni 3.08
Al4 0.0000 0.0000 0.9082  10 Al 2.82-2.99, 3 Ni 3.08
Al5 0.0000 0.5000 0.0000  2 Ni 2.44, 4 Al 2.63
Al6 0.0000 0.5000 0.5000  2 Ni 2.44, 4 Al 2.63
Al7 0.1651 0.3302 0.2500  2 Ni 2.47, 4 Al 2.61-2.66
Al8 0.1651 0.8349 0.2500  2 Ni 2.47, 4 Al 2.61-2.66
Al9 0.3302 0.1651 0.7500  2 Ni 2.47, 4 Al 2.61-2.66
Al10 0.3333 0.6667 0.6590  10 Al 2.80-2.98, 3 Ni 3.09
Al11 0.3333 0.6667 0.8410  10 Al 2.80-2.98, 3 Ni 3.09
Al12 0.5000 0.0000 0.0000  2 Ni 2.44, 4 Al 2.63
Al13 0.5000 0.0000 0.5000  2 Ni 2.44, 4 Al 2.63
Al14 0.5000 0.5000 0.0000  2 Ni 2.44, 4 Al 2.63
Al15 0.5000 0.5000 0.5000  2 Ni 2.44, 4 Al 2.63
Al16 0.6667 0.3333 0.1590  10 Al 2.80-2.98, 3 Ni 3.09
Al17 0.6667 0.3333 0.3410  10 Al 2.80-2.98, 3 Ni 3.09
Al18 0.6698 0.8349 0.2500  2 Ni 2.47, 4 Al 2.61-2.66
Al19 0.8349 0.1651 0.7500  2 Ni 2.47, 4 Al 2.61-2.66
Al20 0.8349 0.6698 0.7500  2 Ni 2.47, 4 Al 2.61-2.66
Ni1 0.3333 0.6667 0.1240  6 Al 2.44-2.47
Ni2 0.3333 0.6667 0.3760  6 Al 2.44-2.47
Ni3 0.6667 0.3333 0.6240  6 Al 2.44-2.47
Ni4 0.6667 0.3333 0.8760  6 Al 2.44-2.47

## Properties
Crystal system ... hexagonal


2.
This record from the Open Quantum Materials Database describes crystalline LuGe2 at its relaxed geometry. The functional is PBE-GGA.

a = 9.1340 Å, b = 9.1340 Å, c = 9.1340 Å
α = 60.00°, β = 60.00°, γ = 60.00°
Last column: nearest neighbours and their distance in Å.
Sites, in units of the cell vectors:
Lu1 0.1250 0.1250 0.1250  4 Ge 2.80
Lu2 0.8750 0.8750 0.8750  4 Ge 2.80
Ge1 0.0000 0.0000 0.0000  2 Lu 2.80
Ge2 0.0000 0.0000 0.5000  2 Lu 2.80
Ge3 0.0000 0.5000 0.0000  2 Lu 2.80
Ge4 0.5000 0.0000 0.0000  2 Lu 2.80

## Properties
Crystal system ... cubic


It is found that the magnetic moment values, taken in the order of the records, are 0.000; 0.670 μB per atom.
It is found that the raw total energy values, taken in the order of the records, are -99.60; -19.13 eV per cell.